# 1
Entry from Alexandria: crystalline Be2C at its relaxed geometry (PBE).

abc: 3.0054 3.0054 5.3221
angles: 90.00 90.00 120.00
With the nearest neighbours (Å) after each atom.
Space group P6_3/mmc (No. 194)
Inequivalent atoms, fractional coordinates:
Be1 0.0000 0.0000 0.0000 [2 per cell]  6 Be 2.19, 6 C 2.19
Be2 0.3333 0.6667 0.2500 [2 per cell]  3 C 1.74
C1 0.3333 0.6667 0.7500 [2 per cell]  3 Be 1.74

Computed properties:
Volume, Å³/f.u.: 21
Uncorrected energy, eV per cell: -31.32

***

# 2
Entry from Alexandria: crystalline Be2C at its relaxed geometry (PBE).

abc: 2.7855 5.8856 5.8537
angles: 90.00 90.00 90.00
With the nearest neighbours (Å) after each atom.
Space group Amm2 (No. 38)
Inequivalent atoms, fractional coordinates:
Be1 0.0000 0.0000 0.0000 [2 per cell]  3 C 1.69-1.88
Be2 0.0000 0.2066 0.2664 [4 per cell]  3 C 1.76-1.87
Be3 0.5000 0.0000 0.5270 [2 per cell]  3 C 1.76-1.82
C1 0.0000 0.0000 0.7118 [2 per cell]  5 Be 1.69-1.76
C2 0.5000 0.0000 0.2169 [2 per cell]  7 Be 1.82-1.88

Computed properties:
Volume, Å³/f.u.: 24
Uncorrected energy, eV per cell: -64.22

***

# 3
Entry from Alexandria: crystalline Be2C at its relaxed geometry (PBE).

abc: 3.0581 3.0581 2.3708
angles: 90.00 90.00 90.00
With the nearest neighbours (Å) after each atom.
Space group P4/mmm (No. 123)
Inequivalent atoms, fractional coordinates:
Be1 0.0000 0.5000 0.0000 [2 per cell]  4 C 1.93, 4 Be 2.16
C1 0.0000 0.0000 0.5000 [1 per cell]  8 Be 1.93

Computed properties:
Volume, Å³/f.u.: 22
Uncorrected energy, eV per cell: -15.04

***

# 4
Entry from Alexandria: crystalline Be2C at its relaxed geometry (PBE).

abc: 9.1563 2.2282 5.6895
angles: 90.00 124.58 90.00
With the nearest neighbours (Å) after each atom.
Space group C2/m (No. 12)
Inequivalent atoms, fractional coordinates:
Be1 0.1064 0.0000 0.4506 [4 per cell]  2 C 1.82
Be2 0.1923 0.0000 0.0930 [4 per cell]  3 C 1.81-1.83
C1 0.0760 0.5000 0.7886 [4 per cell]  5 Be 1.81-1.83

Computed properties:
Volume, Å³/f.u.: 24
Uncorrected energy, eV per cell: -59.16

***

Which value of volume does entry 1 give? 21 Å³/f.u.

***

Among the records above, which one has the lowest volume? number 1

***

The lowest volume belongs to which entry? number 1